Record 1
# TcMoAs2

Crystalline TcMoAs2 at its relaxed geometry (PBE-GGA, Alexandria via LeMat-Bulk).

POSCAR file:
```
TcMoAs2
1.0
4.2729 0.0017 0.0159
3.1979 2.8340 0.0159
1.0651 0.4043 5.1539
Tc As Mo
1 2 1
Cartesian
6.4019 2.4300 3.8893
1.0712 0.4066 5.1257
4.2618 1.6177 2.6211
2.1340 0.8100 1.2964
```

Output
space group: C2/m
M_tot: 0.00 μB per formula unit
volume: 62.3 Å³ per cell
crystal system: monoclinic
formation enthalpy at 0 K: 0.09 eV/atom

Record 2
# TcMo2As4

Crystalline TcMo2As4 at its relaxed geometry (PBE-GGA, Alexandria via LeMat-Bulk).

POSCAR file:
```
TcMo2As4
1.0
-4.6700 -4.3290 2.4769
6.2605 0.3191 2.7183
-2.7634 6.4240 1.4333
Mo As Tc
4 8 2
Cartesian
3.2837 3.5701 2.9515
1.7895 -0.7462 2.0727
-3.5746 -3.1460 2.0529
-2.1622 1.3730 2.7326
2.6642 1.0606 3.5344
0.4377 -1.8494 3.9752
-2.6012 -1.1192 3.1557
-4.1238 1.9736 4.1317
1.1088 4.2580 3.9848
-1.1743 3.6210 1.8999
-0.5022 1.5505 4.7016
-0.4824 0.1156 1.1680
-3.3760 4.0363 3.0726
0.7006 1.9703 2.4154
```

Output
space group: Cc
M_tot: 0.00 μB per formula unit
volume: 252.6 Å³ per cell
crystal system: monoclinic
formation enthalpy at 0 K: -0.16 eV/atom

Record 3
# TcMoAs2

Crystalline TcMoAs2 at its relaxed geometry (PBE-GGA, Alexandria via LeMat-Bulk).

POSCAR file:
```
TcMoAs2
1.0
4.7759 -0.0173 0.0000
1.3484 4.5817 0.0000
-3.0622 -2.2822 2.8679
Tc As Mo
1 2 1
Cartesian
2.3880 -0.0087 1.4339
0.6742 2.2908 1.4339
0.0000 0.0000 0.0000
3.0622 2.2822 0.0000
```

Output
space group: I-4m2
M_tot: 0.00 μB per formula unit
volume: 62.8 Å³ per cell
crystal system: tetragonal
formation enthalpy at 0 K: 0.24 eV/atom

Record 4
# TcMoAs2

Crystalline TcMoAs2 at its relaxed geometry (PBE-GGA, Alexandria via LeMat-Bulk).

POSCAR file:
```
TcMoAs2
1.0
2.9535 0.0000 0.0000
0.0000 3.9407 0.0000
0.0000 0.0000 5.3900
As Tc Mo
2 1 1
Cartesian
0.0000 0.0000 5.1279
1.4768 1.9703 1.5944
1.4768 1.9703 4.2300
0.0000 0.0000 2.5227
```

Output
space group: Pmm2
M_tot: 0.00 μB per formula unit
volume: 62.7 Å³ per cell
crystal system: orthorhombic
formation enthalpy at 0 K: 0.01 eV/atom

Record 5
# TcMoAs2

Crystalline TcMoAs2 at its relaxed geometry (PBE-GGA, Alexandria via LeMat-Bulk).

POSCAR file:
```
TcMoAs2
1.0
1.9271 -3.8780 -0.6805
-1.3386 -3.5328 2.2232
-2.1752 -3.1958 -2.0665
Tc As Mo
1 2 1
Cartesian
-0.7933 -5.3033 -0.2619
-1.1900 -7.9550 -0.3928
-0.3967 -2.6517 -0.1309
0.0000 0.0000 0.0000
```

Output
space group: Fm-3m
M_tot: 0.00 μB per formula unit
volume: 59.6 Å³ per cell
crystal system: cubic
formation enthalpy at 0 K: -0.05 eV/atom

Record 6
# TcTeMo2As

Crystalline TcTeMo2As at its relaxed geometry (PBE-GGA, Alexandria via LeMat-Bulk).

POSCAR file:
```
TcTeMo2As
1.0
-0.0317 1.3542 -4.6149
3.6010 -3.3450 -1.0063
-3.3487 -3.3188 -0.9509
Tc Mo Te As
1 2 1 1
Cartesian
0.0000 0.0000 0.0000
-1.6743 -1.6594 -0.4754
-0.0159 0.6771 -2.3075
1.8005 -1.6725 -0.5032
0.1103 -2.6548 -3.2860
```

Output
space group: P4/mmm
M_tot: 2.84 μB per formula unit
volume: 116.1 Å³ per cell
crystal system: tetragonal
formation energy from raw total energies: 1456 meV/atom

Record 7
# VTc2MoAs

Crystalline VTc2MoAs at its relaxed geometry (PBE-GGA, Alexandria via LeMat-Bulk).

POSCAR file:
```
VTc2MoAs
1.0
4.4681 0.0000 0.0000
0.0000 4.3946 0.0000
0.0000 0.0000 4.4681
Mo As V Tc
1 1 1 2
Cartesian
2.2341 2.1973 2.2341
0.0000 0.0000 0.0000
0.0000 2.1973 0.0000
0.0000 0.0000 2.2341
2.2341 0.0000 0.0000
```

Output
space group: P4/mmm
M_tot: 0.00 μB per formula unit
volume: 87.7 Å³ per cell
crystal system: tetragonal
formation enthalpy at 0 K: 1.09 eV/atom

Record 8
# ZnTc2MoAs

Crystalline ZnTc2MoAs at its relaxed geometry (PBE-GGA, Alexandria via LeMat-Bulk).

POSCAR file:
```
ZnTc2MoAs
1.0
-0.3194 3.9295 2.5239
-0.2697 -2.6116 4.0319
4.6628 0.1262 0.3936
Tc Mo Zn As
2 1 1 1
Cartesian
2.3314 0.0631 0.1968
-0.1597 1.9647 1.2619
0.0000 0.0000 0.0000
-0.1348 -1.3058 2.0159
2.0369 0.7220 3.4747
```

Output
space group: P4/mmm
M_tot: 1.79 μB per formula unit
volume: 105.4 Å³ per cell
crystal system: tetragonal
formation enthalpy at 0 K: 1.50 eV/atom

Record 9
# TeMoAs2

Crystalline TeMoAs2 at its relaxed geometry (PBE-GGA, Alexandria via LeMat-Bulk).

POSCAR file:
```
TeMoAs2
1.0
-1.1660 -3.5575 8.8173
1.9579 -2.8349 8.9381
-0.2362 -0.5773 9.5588
Te As Mo
1 2 1
Cartesian
0.4168 -5.2273 20.4857
0.2886 -3.6200 14.1866
0.5449 -6.8347 26.7847
0.1389 -1.7424 6.8286
```

Output
space group: R-3m
M_tot: 0.00 μB per formula unit
volume: 83.8 Å³ per cell
crystal system: trigonal
formation energy from raw total energies: 25 meV/atom

Record 10
# Te4MoAs

Crystalline Te4MoAs at its relaxed geometry (PBE-GGA, Alexandria via LeMat-Bulk).

POSCAR file:
```
Te4MoAs
1.0
3.9193 0.8259 4.7586
1.7076 5.7455 1.6613
-2.0607 2.4352 5.3395
Te Mo As
4 1 1
Cartesian
1.3367 3.3759 4.4077
3.2991 3.7895 6.7904
0.3049 4.5953 7.0812
2.1917 6.2528 5.2395
0.0000 0.0000 0.0000
2.6747 6.7550 8.8196
```

Output
space group: F-43m
M_tot: 3.64 μB per formula unit
volume: 170.2 Å³ per cell
crystal system: cubic
formation energy from raw total energies: 1161 meV/atom

Record 11
# TeMo2As2

Crystalline TeMo2As2 at its relaxed geometry (PBE-GGA, Alexandria via LeMat-Bulk).

POSCAR file:
```
TeMo2As2
1.0
-1.3346 6.6583 3.1755
-7.1243 -2.0004 1.2002
0.8146 -1.1939 2.8457
Te As Mo
2 4 4
Cartesian
0.0000 0.0000 0.0000
-4.2295 2.3290 2.1878
-1.0656 1.5275 2.7358
-4.3318 -0.9491 2.6318
-6.5788 1.9366 4.4856
-3.3125 4.4131 4.5896
-2.7276 0.2479 0.8848
-6.5723 0.6573 2.1572
-5.7314 4.4100 3.4908
-1.8867 4.0006 2.2185
```

Output
space group: P4/mbm
M_tot: 0.00 μB per formula unit
volume: 179.4 Å³ per cell
crystal system: tetragonal
formation energy from raw total energies: 77 meV/atom

Record 12
# TeMoAs2

Crystalline TeMoAs2 at its relaxed geometry (PBE-GGA, Alexandria via LeMat-Bulk).

POSCAR file:
```
TeMoAs2
1.0
-0.7445 -3.0564 1.7950
2.8526 -1.6234 -1.5811
4.2242 2.1206 5.3628
Te Mo As
1 1 2
Cartesian
4.8582 -1.5359 3.0537
3.0108 0.4119 1.9501
1.5478 -1.7850 1.2566
3.3065 -1.0251 -0.3740
```

Output
space group: Pm
M_tot: 0.00 μB per formula unit
volume: 94.3 Å³ per cell
crystal system: monoclinic
formation energy from raw total energies: 102 meV/atom

Record 13
# TeMoAs2

Crystalline TeMoAs2 at its relaxed geometry (PBE-GGA, Alexandria via LeMat-Bulk).

POSCAR file:
```
TeMoAs2
1.0
-3.7392 1.8649 2.5276
2.0613 -3.2630 2.9921
2.0546 2.4365 1.2417
Mo As Te
1 2 1
Cartesian
-0.8423 2.1507 1.8847
-0.8390 -0.6991 2.7599
0.0000 0.0000 0.0000
2.0579 -0.4133 2.1169
```

Output
space group: Cmmm
M_tot: 1.71 μB per formula unit
volume: 78.7 Å³ per cell
crystal system: orthorhombic
formation energy from raw total energies: 622 meV/atom

Record 14
# TeMoAs2

Crystalline TeMoAs2 at its relaxed geometry (PBE-GGA, Alexandria via LeMat-Bulk).

POSCAR file:
```
TeMoAs2
1.0
-3.7998 3.0141 0.1911
-0.1966 -2.6149 -4.0914
-4.1045 -2.6055 -0.0824
Mo Te As
1 1 2
Cartesian
-2.1506 -2.6102 -2.0869
-1.9982 0.1996 -1.9502
0.0000 0.0000 0.0000
-3.9522 0.2043 0.0543
```

Output
space group: I4/mmm
M_tot: 2.66 μB per formula unit
volume: 88.3 Å³ per cell
crystal system: tetragonal
formation energy from raw total energies: 450 meV/atom

Record 15
# TeMoAs2

Crystalline TeMoAs2 at its relaxed geometry (PBE-GGA, Alexandria via LeMat-Bulk).

POSCAR file:
```
TeMoAs2
1.0
3.3373 0.0000 0.0000
0.0000 4.5982 0.0000
0.0000 0.0000 5.0241
Mo As Te
1 2 1
Cartesian
1.6686 0.0000 2.5121
1.6686 2.2991 0.0000
0.0000 0.0000 0.0000
0.0000 2.2991 2.5121
```

Output
space group: Pmmm
M_tot: 0.29 μB per formula unit
volume: 77.1 Å³ per cell
crystal system: orthorhombic
formation energy from raw total energies: 590 meV/atom